LiLa3 SCAN PBEsol geometry; E_form = 54.7 meV per atom; relative energy among the computed polymorphs = 12.6 meV/atom; theoretical density = 5.76 g/cm³; electronic total energy = -32.87 eV/atom
1.0
3.678 0.000 0.000
0.000 5.819 0.000
-1.839 -2.910 5.706
La Li
3 1
direct
0.735 0.653 0.470
0.500 0.916 0.000
0.265 0.183 0.530
0.000 0.415 0.000

LiLa3 SCAN PBEsol geometry; E_form = 71.4 meV per atom; relative energy among the computed polymorphs = 29.3 meV/atom; theoretical density = 5.77 g/cm³; electronic total energy = -32.85 eV/atom
1.0
3.551 0.000 0.000
0.000 5.726 0.000
0.000 0.000 5.992
La Li
3 1
direct
0.000 0.000 0.997
0.500 0.500 0.867
0.500 0.000 0.456
0.000 0.500 0.348

Li5La SCAN PBEsol geometry; E_form = 68.8 meV per atom; relative energy among the computed polymorphs = 0.0 meV/atom; theoretical density = 2.11 g/cm³; electronic total energy = -9.11 eV/atom
1.0
-0.271 -2.349 -2.219
4.042 3.441 -1.767
2.964 -5.666 5.635
La Li
1 5
direct
0.027 0.055 0.056
0.028 0.057 0.555
0.700 0.400 0.859
0.695 0.390 0.416
0.355 0.710 0.253
0.361 0.722 0.695

LiLa3 SCAN PBEsol geometry; E_form = 42.1 meV per atom; relative energy among the computed polymorphs = 0.0 meV/atom; theoretical density = 5.77 g/cm³; electronic total energy = -32.88 eV/atom
1.0
-2.813 2.237 0.123
-2.233 -2.815 0.136
0.474 0.079 9.416
La Li
3 1
direct
0.500 0.500 0.000
0.000 0.000 0.261
0.000 0.000 0.739
0.500 0.500 0.500

LiLa5 SCAN PBEsol geometry; E_form = 36.3 meV per atom; relative energy among the computed polymorphs = 10.5 meV/atom; theoretical density = 6.14 g/cm³; electronic total energy = -36.28 eV/atom
1.0
-3.615 -0.469 0.536
2.871 -1.217 5.640
-1.301 8.808 -1.067
La Li
5 1
direct
0.046 0.091 0.034
0.689 0.379 0.383
0.340 0.679 0.732
0.025 0.050 0.579
0.367 0.735 0.210
0.700 0.399 0.895

LiLa5 SCAN PBEsol geometry; E_form = 81.8 meV per atom; relative energy among the computed polymorphs = 56.0 meV/atom; theoretical density = 6.15 g/cm³; electronic total energy = -36.24 eV/atom
1.0
-3.866 0.326 3.261
1.383 -4.531 2.093
6.182 3.301 3.060
La Li
5 1
direct
0.337 0.500 0.674
0.829 0.000 0.659
0.663 0.500 0.326
0.000 0.500 0.000
0.171 0.000 0.341
0.500 0.000 0.000

LiLa4 SCAN PBEsol geometry; E_form = 80.4 meV per atom; theoretical density = 6.03 g/cm³; electronic total energy = -34.88 eV/atom
1.0
5.041 0.000 0.000
2.521 5.543 0.000
2.521 0.000 5.543
La Li
4 1
direct
0.197 0.408 0.198
0.605 0.198 0.592
0.395 0.802 0.408
0.803 0.592 0.802
0.000 0.000 0.000

Li5La SCAN PBEsol geometry; E_form = 69.8 meV per atom; relative energy among the computed polymorphs = 1.0 meV/atom; theoretical density = 2.08 g/cm³; electronic total energy = -9.11 eV/atom
1.0
-4.398 0.800 -0.754
-1.251 -1.619 5.575
1.244 5.674 -1.237
Li La
5 1
direct
0.500 0.333 0.667
0.000 0.499 0.499
0.500 0.667 0.333
0.000 0.000 0.501
0.000 0.501 0.000
0.500 0.000 0.000